Record 1
Entry from Alexandria: a relaxed structure of Ta2VBi (GGA-PBE).

The calculation puts the density at 12.5 g/cm³. As for the total energy: -8.380 eV per atom. The crystal system is tetragonal.

```
data_Ta2VBi
_chemical_formula_sum 'Ta8 V4 Bi4'
_space_group_name_H-M_alt 'I -4 2 d'
_space_group_IT_number 122
_space_group_name_Hall 'I -4 2bw'
_cell_length_a 4.0168
_cell_length_b 4.0168
_cell_length_c 20.4540
_cell_angle_alpha 90.00
_cell_angle_beta 90.00
_cell_angle_gamma 90.00
loop_
_atom_site_label
_atom_site_type_symbol
_atom_site_fract_x
_atom_site_fract_y
_atom_site_fract_z
Ta1 Ta 0.2440 0.2500 0.1250
V1 V 0.0000 0.0000 0.0000
Bi1 Bi 0.0000 0.0000 0.5000
```

Record 2
Entry from Alexandria: a relaxed structure of Rb12Au5Br (GGA-PBE).

The calculation puts the density at 3.2 g/cm³. As for the uncorrected formation energy: -0.335 eV/atom. As for the total energy: -1.983 eV per atom. The crystal system is monoclinic.

```
data_Rb12Au5Br
_chemical_formula_sum 'Rb24 Au10 Br2'
_space_group_name_H-M_alt 'C 1 2/m 1'
_space_group_IT_number 12
_cell_length_a 8.4615
_cell_length_b 15.1695
_cell_length_c 16.6735
_cell_angle_alpha 90.00
_cell_angle_beta 90.29
_cell_angle_gamma 90.00
loop_
_space_group_symop_operation_xyz
'x,y,z'
'-x,-y,-z'
'-x,y,-z'
'x,-y,z'
'x+1/2,y+1/2,z'
'-x+1/2,-y+1/2,-z'
'-x+1/2,y+1/2,-z'
'x+1/2,-y+1/2,z'
loop_
_atom_site_label
_atom_site_type_symbol
_atom_site_fract_x
_atom_site_fract_y
_atom_site_fract_z
Rb1 Rb 0.1602 0.1655 0.3803
Rb2 Rb 0.1624 0.0000 0.1183
Rb3 Rb 0.1631 0.3335 0.1193
Rb4 Rb 0.1639 0.5000 0.3805
Au1 Au 0.0000 0.1674 0.0000
Au2 Au 0.0000 0.3330 0.5000
Au3 Au 0.0000 0.5000 0.0000
Br1 Br 0.0000 0.0000 0.5000
```

Record 3
Entry from Alexandria: a relaxed structure of AlCo2Pb (GGA-PBE).

The excess energy over the best structure of this formula in the dataset comes out at 0.000 eV/atom. The calculation puts the density at 9.1 g/cm³. As for the total energy: -5.452 eV per atom. The crystal system is monoclinic.

```
data_AlCo2Pb
_chemical_formula_sum 'Al2 Co4 Pb2'
_space_group_name_H-M_alt 'P 1 21/m 1'
_space_group_IT_number 11
_cell_length_a 3.0481
_cell_length_b 3.0481
_cell_length_c 13.8191
_cell_angle_alpha 90.00
_cell_angle_beta 90.10
_cell_angle_gamma 90.00
loop_
_space_group_symop_operation_xyz
'x,y,z'
'-x,-y,-z'
'-x,y+1/2,-z'
'x,-y+1/2,z'
loop_
_atom_site_label
_atom_site_type_symbol
_atom_site_fract_x
_atom_site_fract_y
_atom_site_fract_z
Al1 Al 0.2487 0.2500 0.3527
Co1 Co 0.2504 0.2500 0.5434
Co2 Co 0.2520 0.2500 0.7361
Pb1 Pb 0.2467 0.2500 0.1234
```